(1)
Here is an optimized crystal structure of Pr6NdY12 from Alexandria. Energies are from PBE-GGA.

Results
* DFT formation energy: 109 meV/atom
* M_tot: 0.000 μB per formula unit
* D(E_F): 31.720 states/eV/f.u.

Cell lengths 8.7736, 8.7736, 8.7736 Å; angles 79.69, 79.69, 79.69 degrees
Last column: nearest neighbours and their distance in Å.
Positions (direct):
Pr1 0.2701 0.2701 0.6649  1 Nd 3.10, 3 Y 3.37-3.43
Pr2 0.2701 0.6649 0.2701  1 Nd 3.10, 3 Y 3.37-3.43
Pr3 0.3351 0.7299 0.7299  1 Nd 3.10, 3 Y 3.37-3.43
Pr4 0.6649 0.2701 0.2701  1 Nd 3.10, 3 Y 3.37-3.43
Pr5 0.7299 0.3351 0.7299  1 Nd 3.10, 3 Y 3.37-3.43
Pr6 0.7299 0.7299 0.3351  1 Nd 3.10, 3 Y 3.37-3.43
Nd1 0.5000 0.5000 0.5000  6 Pr 3.10
Y1 0.0158 0.0158 0.6965  3 Pr 3.37-3.43, 5 Y 3.52-3.59
Y2 0.0158 0.6965 0.0158  3 Pr 3.37-3.43, 5 Y 3.52-3.59
Y3 0.0186 0.3624 0.3624  7 Y 3.52-3.87, 5 Pr 3.60-3.73
Y4 0.3035 0.9842 0.9842  3 Pr 3.37-3.43, 5 Y 3.52-3.59
Y5 0.3624 0.0186 0.3624  7 Y 3.52-3.87, 5 Pr 3.60-3.73
Y6 0.3624 0.3624 0.0186  7 Y 3.52-3.87, 5 Pr 3.60-3.73
Y7 0.6376 0.6376 0.9814  7 Y 3.52-3.87, 5 Pr 3.60-3.73
Y8 0.6376 0.9814 0.6376  7 Y 3.52-3.87, 5 Pr 3.60-3.73
Y9 0.6965 0.0158 0.0158  3 Pr 3.37-3.43, 5 Y 3.52-3.59
Y10 0.9814 0.6376 0.6376  7 Y 3.52-3.87, 5 Pr 3.60-3.73
Y11 0.9842 0.3035 0.9842  3 Pr 3.37-3.43, 5 Y 3.52-3.59
Y12 0.9842 0.9842 0.3035  3 Pr 3.37-3.43, 5 Y 3.52-3.59

(2)
Here is an optimized crystal structure of LaY4Cu from Alexandria. Energies are from PBE-GGA.

Results
* DFT formation energy: 527 meV/atom
* M_tot: 0.007 μB per formula unit
* D(E_F): 10.598 states/eV/f.u.

Cell lengths 6.4858, 6.4858, 6.4858 Å; angles 60.00, 60.00, 60.00 degrees
Last column: nearest neighbours and their distance in Å.
Positions (direct):
La1 0.0000 0.0000 0.0000  12 Y 3.80, 4 Cu 3.97
Y1 0.1247 0.6251 0.6251  6 Y 3.24-3.25
Y2 0.6251 0.1247 0.6251  6 Y 3.24-3.25
Y3 0.6251 0.6251 0.1247  6 Y 3.24-3.25
Y4 0.6251 0.6251 0.6251  6 Y 3.24-3.25
Cu1 0.2500 0.2500 0.2500  12 Y 3.80, 4 La 3.97

(3)
Here is an optimized crystal structure of AlRu2W from Alexandria. Energies are from PBE-GGA.

Results
* DFT formation energy: 8 meV/atom
* M_tot: 0.000 μB per formula unit
* D(E_F): 4.166 states/eV/f.u.

Cell lengths 8.9106, 8.9106, 8.9106 Å; angles 18.00, 18.00, 18.00 degrees
Last column: nearest neighbours and their distance in Å.
Positions (direct):
Al1 0.0000 0.0000 0.0000  3 Ru 2.65, 6 Al 2.79, 3 W 2.81
Ru1 0.2535 0.2535 0.2535  3 Al 2.65, 9 Ru 2.69-2.79
Ru2 0.5046 0.5046 0.5046  9 Ru 2.69-2.79, 3 W 2.72
W1 0.7544 0.7544 0.7544  3 Ru 2.72, 6 W 2.79, 3 Al 2.81